No. 1
VASP calculation (GGA-PBE) on a relaxed structure of Li2PrCd2Pb2.

abc: 4.820 4.820 8.963
angles: 105.34 105.34 59.84
Element x y z (fractional)
Li1 0.143 0.143 0.431
Li2 0.857 0.857 0.569
Pr1 0.000 0.000 0.000
Cd1 0.442 0.442 0.330
Cd2 0.558 0.558 0.670
Pb1 0.266 0.266 0.794
Pb2 0.734 0.734 0.206

Its total magnetization is 0.00 μB per cell. For the uncorrected energy, the calculation gives -20.2 eV per cell. The formation energy comes out at -342 meV per atom. The space group is No. 12.



No. 2
VASP calculation (GGA-PBE) on a relaxed structure of LiCdPtPb2.

abc: 5.384 5.384 4.819
angles: 90.00 90.00 90.00
Element x y z (fractional)
Li1 0.000 0.000 0.000
Cd1 0.500 0.500 0.000
Pt1 0.000 0.000 0.500
Pb1 0.000 0.500 0.500
Pb2 0.500 0.000 0.500

Its total magnetization is 0.00 μB per cell. For the uncorrected energy, the calculation gives -16.4 eV per cell. The formation energy comes out at -31 meV per atom. The space group is No. 123.



No. 3
VASP calculation (GGA-PBE) on a relaxed structure of LiPuCdPb.

abc: 3.454 3.454 7.894
angles: 90.00 90.00 90.00
Element x y z (fractional)
Li1 0.000 0.000 0.000
Pu1 0.000 0.000 0.515
Cd1 0.500 0.500 0.800
Pb1 0.500 0.500 0.221

Its total magnetization is 5.80 μB per cell. Its energy relative to the lowest polymorph listed for this composition is 0 meV/atom. For the uncorrected energy, the calculation gives -21.6 eV per cell. The formation energy comes out at -178 meV per atom. The space group is No. 99.



No. 4
VASP calculation (GGA-PBE) on a relaxed structure of LiPuCdPb.

abc: 5.212 5.212 5.212
angles: 60.00 60.00 60.00
Element x y z (fractional)
Li1 0.000 0.000 0.000
Pu1 0.500 0.500 0.500
Cd1 0.750 0.750 0.750
Pb1 0.250 0.250 0.250

Its total magnetization is 5.51 μB per cell. Its energy relative to the lowest polymorph listed for this composition is 50 meV/atom. For the uncorrected energy, the calculation gives -21.4 eV per cell. The formation energy comes out at -128 meV per atom. The space group is No. 216.



No. 5
VASP calculation (GGA-PBE) on a relaxed structure of RbLi2CdPb.

abc: 5.483 5.483 5.954
angles: 90.00 90.00 90.00
Element x y z (fractional)
Rb1 0.000 0.000 0.000
Li1 0.000 0.500 0.500
Li2 0.500 0.000 0.500
Cd1 0.500 0.500 0.000
Pb1 0.500 0.500 0.500

Its total magnetization is 0.00 μB per cell. For the uncorrected energy, the calculation gives -9.7 eV per cell. The formation energy comes out at -63 meV per atom. The space group is No. 123.



No. 6
VASP calculation (GGA-PBE) on a relaxed structure of LiScCdPb.

abc: 3.864 4.654 4.888
angles: 90.00 90.00 90.00
Element x y z (fractional)
Li1 0.000 0.000 0.000
Sc1 0.000 0.500 0.500
Cd1 0.500 0.500 0.000
Pb1 0.500 0.000 0.500

Its total magnetization is 0.00 μB per cell. For the uncorrected energy, the calculation gives -14.2 eV per cell. The formation energy comes out at -327 meV per atom. The space group is No. 47.



No. 7
VASP calculation (GGA-PBE) on a relaxed structure of LiCdSiPb2.

abc: 5.448 5.448 5.226
angles: 90.00 90.00 90.00
Element x y z (fractional)
Li1 0.000 0.000 0.000
Cd1 0.500 0.500 0.000
Si1 0.500 0.500 0.500
Pb1 0.000 0.500 0.500
Pb2 0.500 0.000 0.500

Its total magnetization is 0.00 μB per cell. As for the uncorrected formation energy: 0.3920 eV/atom. For the uncorrected energy, the calculation gives -13.7 eV per cell. The space group is No. 123.



No. 8
VASP calculation (GGA-PBE) on a relaxed structure of LiSmCdPb.

abc: 5.231 5.231 5.231
angles: 60.00 60.00 60.00
Element x y z (fractional)
Li1 0.000 0.000 0.000
Sm1 0.500 0.500 0.500
Cd1 0.750 0.750 0.750
Pb1 0.250 0.250 0.250

Its total magnetization is 0.00 μB per cell. Its energy relative to the lowest polymorph listed for this composition is 0 meV/atom. For the uncorrected energy, the calculation gives -12.8 eV per cell. The formation energy comes out at -375 meV per atom. The space group is No. 216.



No. 9
VASP calculation (GGA-PBE) on a relaxed structure of Li2SmCd2Pb2.

abc: 4.798 4.798 8.873
angles: 105.43 105.43 59.83
Element x y z (fractional)
Li1 0.143 0.143 0.430
Li2 0.857 0.857 0.570
Sm1 0.000 0.000 0.000
Cd1 0.442 0.442 0.329
Cd2 0.558 0.558 0.671
Pb1 0.268 0.268 0.799
Pb2 0.732 0.732 0.201

Its total magnetization is 0.00 μB per cell. For the uncorrected energy, the calculation gives -20.0 eV per cell. The formation energy comes out at -321 meV per atom. The space group is No. 12.



No. 10
VASP calculation (GGA-PBE) on a relaxed structure of LiSmCdPb.

abc: 4.346 4.717 4.966
angles: 90.00 90.00 90.00
Element x y z (fractional)
Li1 0.000 0.000 0.000
Sm1 0.000 0.500 0.500
Cd1 0.500 0.500 0.000
Pb1 0.500 0.000 0.500

Its total magnetization is 0.00 μB per cell. Its energy relative to the lowest polymorph listed for this composition is 9 meV/atom. For the uncorrected energy, the calculation gives -12.7 eV per cell. The formation energy comes out at -365 meV per atom. The space group is No. 47.



No. 11
VASP calculation (GGA-PBE) on a relaxed structure of Li2CdSnPb.

abc: 5.754 4.949 8.330
angles: 90.00 106.63 90.00
Element x y z (fractional)
Li1 0.134 0.250 0.094
Li2 0.262 0.750 0.680
Li3 0.738 0.250 0.320
Li4 0.866 0.750 0.906
Cd1 0.016 0.750 0.284
Cd2 0.984 0.250 0.716
Sn1 0.302 0.250 0.464
Sn2 0.698 0.750 0.536
Pb1 0.449 0.750 0.114
Pb2 0.551 0.250 0.886

Its total magnetization is 0.00 μB per cell. For the uncorrected energy, the calculation gives -26.8 eV per cell. The formation energy comes out at -189 meV per atom. The space group is No. 11.



No. 12
VASP calculation (GGA-PBE) on a relaxed structure of Sr2Li3Cd12Pb.

abc: 8.919 8.919 8.919
angles: 62.02 62.02 62.02
Element x y z (fractional)
Sr1 0.092 0.092 0.092
Sr2 0.908 0.908 0.908
Li1 0.000 0.500 0.500
Li2 0.500 0.000 0.500
Li3 0.500 0.500 0.000
Cd1 0.068 0.651 0.651
Cd2 0.164 0.164 0.616
Cd3 0.164 0.616 0.164
Cd4 0.349 0.349 0.932
Cd5 0.349 0.932 0.349
Cd6 0.384 0.836 0.836
Cd7 0.616 0.164 0.164
Cd8 0.651 0.068 0.651
Cd9 0.651 0.651 0.068
Cd10 0.836 0.384 0.836
Cd11 0.836 0.836 0.384
Cd12 0.932 0.349 0.349
Pb1 0.500 0.500 0.500

Its total magnetization is 0.00 μB per cell. For the uncorrected energy, the calculation gives -21.9 eV per cell. The formation energy comes out at 104 meV per atom. The space group is No. 166.



No. 13
VASP calculation (GGA-PBE) on a relaxed structure of SrLi2CdPb.

abc: 5.332 5.332 6.384
angles: 90.00 90.00 90.00
Element x y z (fractional)
Sr1 0.000 0.000 0.000
Li1 0.000 0.500 0.500
Li2 0.500 0.000 0.500
Cd1 0.500 0.500 0.000
Pb1 0.000 0.000 0.500

Its total magnetization is 0.00 μB per cell. For the uncorrected energy, the calculation gives -10.3 eV per cell. The formation energy comes out at -24 meV per atom. The space group is No. 123.



No. 14
VASP calculation (GGA-PBE) on a relaxed structure of SrLi4CdPb2.

abc: 9.558 9.558 9.558
angles: 29.43 29.43 29.43
Element x y z (fractional)
Sr1 0.000 0.000 0.000
Li1 0.133 0.133 0.133
Li2 0.403 0.403 0.403
Li3 0.597 0.597 0.597
Li4 0.867 0.867 0.867
Cd1 0.500 0.500 0.500
Pb1 0.249 0.249 0.249
Pb2 0.751 0.751 0.751

Its total magnetization is 0.00 μB per cell. For the uncorrected energy, the calculation gives -20.2 eV per cell. The formation energy comes out at -312 meV per atom. The space group is No. 166.



No. 15
VASP calculation (GGA-PBE) on a relaxed structure of SrLiCd2Pb4.

abc: 9.637 9.637 9.637
angles: 32.17 32.17 32.17
Element x y z (fractional)
Sr1 0.000 0.000 0.000
Li1 0.500 0.500 0.500
Cd1 0.251 0.251 0.251
Cd2 0.749 0.749 0.749
Pb1 0.131 0.131 0.131
Pb2 0.390 0.390 0.390
Pb3 0.610 0.610 0.610
Pb4 0.869 0.869 0.869

Its total magnetization is 0.00 μB per cell. For the uncorrected energy, the calculation gives -21.6 eV per cell. The formation energy comes out at -173 meV per atom. The space group is No. 166.



No. 16
VASP calculation (GGA-PBE) on a relaxed structure of Li2TbCd2Pb2.

abc: 4.779 4.779 8.815
angles: 105.47 105.47 59.83
Element x y z (fractional)
Li1 0.143 0.143 0.430
Li2 0.857 0.857 0.570
Tb1 0.000 0.000 0.000
Cd1 0.442 0.442 0.328
Cd2 0.558 0.558 0.672
Pb1 0.269 0.269 0.804
Pb2 0.731 0.731 0.196

Its total magnetization is 0.00 μB per cell. For the uncorrected energy, the calculation gives -19.8 eV per cell. The formation energy comes out at -297 meV per atom. The space group is No. 12.



No. 17
VASP calculation (GGA-PBE) on a relaxed structure of LiTlCdPb.

abc: 5.225 5.225 5.225
angles: 60.00 60.00 60.00
Element x y z (fractional)
Li1 0.000 0.000 0.000
Tl1 0.750 0.750 0.750
Cd1 0.500 0.500 0.500
Pb1 0.250 0.250 0.250

Its total magnetization is 0.00 μB per cell. For the uncorrected energy, the calculation gives -9.3 eV per cell. The formation energy comes out at -91 meV per atom. The space group is No. 216.



No. 18
VASP calculation (GGA-PBE) on a relaxed structure of Li5TlCdPb2.

abc: 8.772 8.772 8.772
angles: 127.13 127.13 78.04
Element x y z (fractional)
Li1 0.000 0.000 0.000
Li2 0.060 0.560 0.904
Li3 0.157 0.060 0.500
Li4 0.343 0.843 0.904
Li5 0.440 0.343 0.500
Li6 0.500 0.500 0.000
Li7 0.560 0.657 0.500
Li8 0.657 0.157 0.096
Li9 0.843 0.940 0.500
Li10 0.940 0.440 0.096
Tl1 0.250 0.750 0.500
Tl2 0.750 0.250 0.500
Cd1 0.250 0.250 0.000
Cd2 0.750 0.750 0.000
Pb1 0.131 0.369 0.500
Pb2 0.369 0.869 0.239
Pb3 0.631 0.131 0.761
Pb4 0.869 0.631 0.500

Its total magnetization is 0.00 μB per cell. For the uncorrected energy, the calculation gives -42.4 eV per cell. The formation energy comes out at -103 meV per atom. The space group is No. 140.



No. 19
VASP calculation (GGA-PBE) on a relaxed structure of LiTmCdPb.

abc: 4.031 4.776 4.974
angles: 90.00 90.00 90.00
Element x y z (fractional)
Li1 0.000 0.000 0.000
Tm1 0.000 0.500 0.500
Cd1 0.500 0.500 0.000
Pb1 0.500 0.000 0.500

Its total magnetization is 0.00 μB per cell. For the uncorrected energy, the calculation gives -12.3 eV per cell. The formation energy comes out at -335 meV per atom. The space group is No. 47.



No. 20
VASP calculation (GGA-PBE) on a relaxed structure of LiTmCdPb.

abc: 5.133 5.133 5.133
angles: 60.00 60.00 60.00
Element x y z (fractional)
Li1 0.000 0.000 0.000
Tm1 0.500 0.500 0.500
Cd1 0.750 0.750 0.750
Pb1 0.250 0.250 0.250

Its total magnetization is 0.00 μB per cell. For the uncorrected energy, the calculation gives -12.4 eV per cell. The formation energy comes out at -336 meV per atom. The space group is No. 216.



No. 21
VASP calculation (GGA-PBE) on a relaxed structure of LiYCdPb.

abc: 5.174 5.174 5.174
angles: 60.00 60.00 60.00
Element x y z (fractional)
Li1 0.000 0.000 0.000
Y1 0.500 0.500 0.500
Cd1 0.250 0.250 0.250
Pb1 0.750 0.750 0.750

Its total magnetization is 0.00 μB per cell. Its energy relative to the lowest polymorph listed for this composition is 8 meV/atom. For the uncorrected energy, the calculation gives -14.5 eV per cell. The formation energy comes out at -366 meV per atom. The space group is No. 216.



No. 22
VASP calculation (GGA-PBE) on a relaxed structure of LiYCdPb.

abc: 4.273 4.663 4.905
angles: 90.00 90.00 90.00
Element x y z (fractional)
Li1 0.000 0.000 0.000
Y1 0.000 0.500 0.500
Cd1 0.500 0.500 0.000
Pb1 0.500 0.000 0.500

Its total magnetization is 0.00 μB per cell. Its energy relative to the lowest polymorph listed for this composition is 0 meV/atom. For the uncorrected energy, the calculation gives -14.5 eV per cell. The formation energy comes out at -374 meV per atom. The space group is No. 47.



No. 23
VASP calculation (GGA-PBE) on a relaxed structure of LiZrCdPb.

abc: 5.000 5.000 5.000
angles: 60.00 60.00 60.00
Element x y z (fractional)
Li1 0.000 0.000 0.000
Zr1 0.500 0.500 0.500
Cd1 0.250 0.250 0.250
Pb1 0.750 0.750 0.750

Its total magnetization is 0.00 μB per cell. Its energy relative to the lowest polymorph listed for this composition is 124 meV/atom. For the uncorrected energy, the calculation gives -15.3 eV per cell. The formation energy comes out at -57 meV per atom. The space group is No. 216.



No. 24
VASP calculation (GGA-PBE) on a relaxed structure of LiZrCdPb.

abc: 4.154 4.436 4.673
angles: 90.00 90.00 90.00
Element x y z (fractional)
Li1 0.000 0.000 0.000
Zr1 0.000 0.500 0.500
Cd1 0.500 0.500 0.000
Pb1 0.500 0.000 0.500

Its total magnetization is 0.00 μB per cell. Its energy relative to the lowest polymorph listed for this composition is 0 meV/atom. For the uncorrected energy, the calculation gives -15.8 eV per cell. The formation energy comes out at -180 meV per atom. The space group is No. 47.



No. 25
VASP calculation (GGA-PBE) on a relaxed structure of Li6CdPd12.

abc: 7.182 7.182 7.182
angles: 107.23 107.23 107.23
Element x y z (fractional)
Li1 0.140 0.263 0.852
Li2 0.148 0.860 0.737
Li3 0.263 0.852 0.140
Li4 0.737 0.148 0.860
Li5 0.852 0.140 0.263
Li6 0.860 0.737 0.148
Cd1 0.500 0.500 0.500
Pd1 0.075 0.481 0.188
Pd2 0.163 0.462 0.601
Pd3 0.188 0.075 0.481
Pd4 0.399 0.837 0.538
Pd5 0.462 0.601 0.163
Pd6 0.481 0.188 0.075
Pd7 0.519 0.812 0.925
Pd8 0.538 0.399 0.837
Pd9 0.601 0.163 0.462
Pd10 0.812 0.925 0.519
Pd11 0.837 0.538 0.399
Pd12 0.925 0.519 0.812

Its total magnetization is 0.00 μB per cell. For the uncorrected energy, the calculation gives -78.2 eV per cell. The formation energy comes out at -186 meV per atom. The space group is No. 148.



No. 26
VASP calculation (GGA-PBE) on a relaxed structure of Li2Cd3Pd.

abc: 7.379 7.379 11.534
angles: 110.52 110.52 23.05
Element x y z (fractional)
Li1 0.089 0.089 0.462
Li2 0.313 0.313 0.123
Li3 0.687 0.687 0.877
Li4 0.911 0.911 0.538
Cd1 0.110 0.110 0.040
Cd2 0.245 0.245 0.343
Cd3 0.468 0.468 0.774
Cd4 0.532 0.532 0.226
Cd5 0.755 0.755 0.657
Cd6 0.890 0.890 0.960
Pd1 0.096 0.096 0.684
Pd2 0.904 0.904 0.316

Its total magnetization is 0.00 μB per cell. Its energy relative to the lowest polymorph listed for this composition is 98 meV/atom. For the uncorrected energy, the calculation gives -26.3 eV per cell. The formation energy comes out at -229 meV per atom. The space group is No. 12.